Model A:
Crystalline Ga2H2Ru at its relaxed geometry. Source: Alexandria, functional PBE.

Results
Size of the total moment, μB per formula unit: 0.0
Symmetry: No. 139

a b c (Å): 2.889 2.889 12.638
angles (deg): 90.00 90.00 90.00
Element x y z (fractional)
Ga (0.000, 0.000, 0.131)
Ga (0.000, 0.000, 0.869)
Ga (0.500, 0.500, 0.369)
Ga (0.500, 0.500, 0.631)
H (0.000, 0.500, 0.250)
H (0.000, 0.500, 0.750)
H (0.500, 0.000, 0.250)
H (0.500, 0.000, 0.750)
Ru (0.000, 0.000, 0.500)
Ru (0.500, 0.500, 0.000)

Model B:
Crystalline Ga2H2Ru at its relaxed geometry. Source: Alexandria, functional PBE.

Results
Size of the total moment, μB per formula unit: 0.0
Symmetry: No. 127

a b c (Å): 5.176 5.176 4.058
angles (deg): 90.00 90.00 90.00
Element x y z (fractional)
Ga (0.180, 0.320, 0.000)
Ga (0.320, 0.820, 0.000)
Ga (0.680, 0.180, 0.000)
Ga (0.820, 0.680, 0.000)
H (0.242, 0.742, 0.500)
H (0.258, 0.242, 0.500)
H (0.742, 0.758, 0.500)
H (0.758, 0.258, 0.500)
Ru (0.000, 0.000, 0.500)
Ru (0.500, 0.500, 0.500)

Least stable structure: model A

Model A:
Crystalline TaGaHRu2 at its relaxed geometry. Source: Alexandria, functional PBE.

Results
Size of the total moment, μB per formula unit: 0.0
Symmetry: No. 123

a b c (Å): 4.071 4.071 3.794
angles (deg): 90.00 90.00 90.00
Element x y z (fractional)
Ta (0.000, 0.000, 0.000)
Ga (0.500, 0.500, 0.000)
H (0.000, 0.000, 0.500)
Ru (0.000, 0.500, 0.500)
Ru (0.500, 0.000, 0.500)

Model B:
Crystalline TaGaHRu2 at its relaxed geometry. Source: Alexandria, functional PBE.

Results
Size of the total moment, μB per formula unit: 0.0
Symmetry: No. 123

a b c (Å): 4.172 4.172 3.677
angles (deg): 90.00 90.00 90.00
Element x y z (fractional)
Ta (0.000, 0.000, 0.000)
Ga (0.500, 0.500, 0.000)
H (0.500, 0.500, 0.500)
Ru (0.000, 0.500, 0.500)
Ru (0.500, 0.000, 0.500)

Least stable structure: model B

Model A:
Crystalline TiGaHRu2 at its relaxed geometry. Source: Alexandria, functional PBE.

Results
Size of the total moment, μB per formula unit: 0.0
Symmetry: No. 123

a b c (Å): 4.124 4.124 3.656
angles (deg): 90.00 90.00 90.00
Element x y z (fractional)
Ti (0.000, 0.000, 0.000)
Ga (0.500, 0.500, 0.000)
H (0.000, 0.000, 0.500)
Ru (0.000, 0.500, 0.500)
Ru (0.500, 0.000, 0.500)

Model B:
Crystalline TiGaHRu2 at its relaxed geometry. Source: Alexandria, functional PBE.

Results
Size of the total moment, μB per formula unit: 1.0
Symmetry: No. 123

a b c (Å): 4.577 4.577 4.834
angles (deg): 90.00 90.00 90.00
Element x y z (fractional)
Ti (0.000, 0.000, 0.000)
Ga (0.000, 0.000, 0.500)
H (0.500, 0.500, 0.000)
Ru (0.000, 0.500, 0.500)
Ru (0.500, 0.000, 0.500)

Least stable structure: model B

Model A:
Crystalline GaH3S at its relaxed geometry. Source: Alexandria, functional PBE.

Results
Size of the total moment, μB per formula unit: 0.0
Symmetry: No. 221

a b c (Å): 3.639 3.639 3.639
angles (deg): 90.00 90.00 90.00
Element x y z (fractional)
Ga (0.000, 0.000, 0.000)
H (0.000, 0.000, 0.500)
H (0.000, 0.500, 0.000)
H (0.500, 0.000, 0.000)
S (0.500, 0.500, 0.500)

Model B:
Crystalline GaH3S at its relaxed geometry. Source: Alexandria, functional PBE.

Results
Size of the total moment, μB per formula unit: 0.0
Symmetry: No. 221

a b c (Å): 3.657 3.657 3.657
angles (deg): 90.00 90.00 90.00
Element x y z (fractional)
Ga (0.000, 0.000, 0.000)
H (0.000, 0.500, 0.500)
H (0.500, 0.000, 0.500)
H (0.500, 0.500, 0.000)
S (0.500, 0.500, 0.500)

Least stable structure: model A

Model A:
Crystalline Ga2HS at its relaxed geometry. Source: Alexandria, functional PBE.

Results
Size of the total moment, μB per formula unit: 0.0
Symmetry: No. 122

a b c (Å): 5.431 5.431 9.592
angles (deg): 90.00 90.00 90.00
Element x y z (fractional)
Ga (0.178, 0.250, 0.125)
Ga (0.250, 0.678, 0.375)
Ga (0.250, 0.822, 0.875)
Ga (0.322, 0.250, 0.625)
Ga (0.678, 0.750, 0.625)
Ga (0.750, 0.178, 0.875)
Ga (0.750, 0.322, 0.375)
Ga (0.822, 0.750, 0.125)
H (0.000, 0.000, 0.000)
H (0.000, 0.500, 0.250)
H (0.500, 0.000, 0.750)
H (0.500, 0.500, 0.500)
S (0.000, 0.000, 0.500)
S (0.000, 0.500, 0.750)
S (0.500, 0.000, 0.250)
S (0.500, 0.500, 0.000)

Model B:
Crystalline Ga2HS at its relaxed geometry. Source: Alexandria, functional PBE.

Results
Size of the total moment, μB per formula unit: 0.0
Symmetry: No. 225

a b c (Å): 6.324 6.324 6.324
angles (deg): 90.00 90.00 90.00
Element x y z (fractional)
Ga (0.250, 0.250, 0.250)
Ga (0.250, 0.250, 0.750)
Ga (0.250, 0.750, 0.250)
Ga (0.250, 0.750, 0.750)
Ga (0.750, 0.250, 0.250)
Ga (0.750, 0.250, 0.750)
Ga (0.750, 0.750, 0.250)
Ga (0.750, 0.750, 0.750)
H (0.000, 0.000, 0.000)
H (0.000, 0.500, 0.500)
H (0.500, 0.000, 0.500)
H (0.500, 0.500, 0.000)
S (0.000, 0.000, 0.500)
S (0.000, 0.500, 0.000)
S (0.500, 0.000, 0.000)
S (0.500, 0.500, 0.500)

Least stable structure: model B

Model A:
Crystalline Ga2SbH2 at its relaxed geometry. Source: Alexandria, functional PBE.

Results
Size of the total moment, μB per formula unit: 0.0
Symmetry: No. 139

a b c (Å): 3.471 3.471 12.326
angles (deg): 90.00 90.00 90.00
Element x y z (fractional)
Ga (0.000, 0.000, 0.160)
Ga (0.000, 0.000, 0.840)
Ga (0.500, 0.500, 0.340)
Ga (0.500, 0.500, 0.660)
Sb (0.000, 0.000, 0.500)
Sb (0.500, 0.500, 0.000)
H (0.000, 0.500, 0.250)
H (0.000, 0.500, 0.750)
H (0.500, 0.000, 0.250)
H (0.500, 0.000, 0.750)

Model B:
Crystalline Ga2SbH2 at its relaxed geometry. Source: Alexandria, functional PBE.

Results
Size of the total moment, μB per formula unit: 0.0
Symmetry: No. 127

a b c (Å): 7.209 7.209 2.987
angles (deg): 90.00 90.00 90.00
Element x y z (fractional)
Ga (0.124, 0.376, 0.000)
Ga (0.376, 0.876, 0.000)
Ga (0.624, 0.124, 0.000)
Ga (0.876, 0.624, 0.000)
Sb (0.000, 0.000, 0.000)
Sb (0.500, 0.500, 0.000)
H (0.106, 0.606, 0.500)
H (0.394, 0.106, 0.500)
H (0.606, 0.894, 0.500)
H (0.894, 0.394, 0.500)

Least stable structure: model B

Model A:
Crystalline GaSbH at its relaxed geometry. Source: Alexandria, functional PBE.

Results
Size of the total moment, μB per formula unit: 0.0
Symmetry: No. 1

a b c (Å): 3.195 6.010 6.289
angles (deg): 95.09 104.07 103.89
Element x y z (fractional)
Ga (0.000, 0.000, 0.000)
Ga (0.238, 0.184, 0.514)
Sb (0.196, 0.540, 0.062)
Sb (0.459, 0.642, 0.541)
H (0.280, 0.083, 0.756)
H (0.650, 0.101, 0.402)

Model B:
Crystalline GaSbH at its relaxed geometry. Source: Alexandria, functional PBE.

Results
Size of the total moment, μB per formula unit: 0.0
Symmetry: No. 107

a b c (Å): 4.118 4.118 6.754
angles (deg): 90.00 90.00 90.00
Element x y z (fractional)
Ga (0.000, 0.000, 0.000)
Ga (0.500, 0.500, 0.500)
Sb (0.000, 0.000, 0.542)
Sb (0.500, 0.500, 0.042)
H (0.000, 0.000, 0.268)
H (0.500, 0.500, 0.768)

Model C:
Crystalline GaSbH at its relaxed geometry. Source: Alexandria, functional PBE.

Results
Size of the total moment, μB per formula unit: 0.0
Symmetry: No. 14

a b c (Å): 6.179 6.860 7.018
angles (deg): 90.00 118.35 90.00
Element x y z (fractional)
Ga (0.217, 0.083, 0.327)
Ga (0.217, 0.417, 0.827)
Ga (0.783, 0.583, 0.173)
Ga (0.783, 0.917, 0.673)
Sb (0.256, 0.049, 0.961)
Sb (0.256, 0.451, 0.461)
Sb (0.744, 0.549, 0.539)
Sb (0.744, 0.951, 0.039)
H (0.312, 0.590, 0.998)
H (0.312, 0.910, 0.498)
H (0.688, 0.090, 0.502)
H (0.688, 0.410, 0.002)

Least stable structure: model B

Model A:
Crystalline Ga3SbH at its relaxed geometry. Source: Alexandria, functional PBE.

Results
Size of the total moment, μB per formula unit: 0.0
Symmetry: No. 221

a b c (Å): 5.503 5.503 5.503
angles (deg): 90.00 90.00 90.00
Element x y z (fractional)
Ga (0.000, 0.000, 0.500)
Ga (0.000, 0.500, 0.000)
Ga (0.500, 0.000, 0.000)
Sb (0.000, 0.000, 0.000)
H (0.500, 0.500, 0.500)

Model B:
Crystalline Ga3SbH at its relaxed geometry. Source: Alexandria, functional PBE.

Results
Size of the total moment, μB per formula unit: 0.0
Symmetry: No. 221

a b c (Å): 4.510 4.510 4.510
angles (deg): 90.00 90.00 90.00
Element x y z (fractional)
Ga (0.000, 0.000, 0.500)
Ga (0.000, 0.500, 0.000)
Ga (0.500, 0.000, 0.000)
Sb (0.500, 0.500, 0.500)
H (0.000, 0.000, 0.000)

Least stable structure: model A

Model A:
Crystalline GaSb2H at its relaxed geometry. Source: Alexandria, functional PBE.

Results
Size of the total moment, μB per formula unit: 0.0
Symmetry: No. 122

a b c (Å): 5.816 5.816 10.718
angles (deg): 90.00 90.00 90.00
Element x y z (fractional)
Ga (0.000, 0.000, 0.000)
Ga (0.000, 0.500, 0.250)
Ga (0.500, 0.000, 0.750)
Ga (0.500, 0.500, 0.500)
Sb (0.173, 0.250, 0.625)
Sb (0.250, 0.673, 0.875)
Sb (0.250, 0.827, 0.375)
Sb (0.327, 0.250, 0.125)
Sb (0.673, 0.750, 0.125)
Sb (0.750, 0.173, 0.375)
Sb (0.750, 0.327, 0.875)
Sb (0.827, 0.750, 0.625)
H (0.000, 0.000, 0.500)
H (0.000, 0.500, 0.750)
H (0.500, 0.000, 0.250)
H (0.500, 0.500, 0.000)

Model B:
Crystalline GaSb2H at its relaxed geometry. Source: Alexandria, functional PBE.

Results
Size of the total moment, μB per formula unit: 0.0
Symmetry: No. 166

a b c (Å): 4.371 4.371 19.739
angles (deg): 90.00 90.00 120.00
Element x y z (fractional)
Ga (0.000, 0.000, 0.000)
Ga (0.333, 0.667, 0.667)
Ga (0.667, 0.333, 0.333)
Sb (0.000, 0.000, 0.399)
Sb (0.000, 0.000, 0.601)
Sb (0.333, 0.667, 0.066)
Sb (0.333, 0.667, 0.268)
Sb (0.667, 0.333, 0.732)
Sb (0.667, 0.333, 0.934)
H (0.000, 0.000, 0.500)
H (0.333, 0.667, 0.167)
H (0.667, 0.333, 0.833)

Least stable structure: model A

Model A:
Crystalline GaSbTe2H at its relaxed geometry. Source: Alexandria, functional PBE.

Results
Size of the total moment, μB per formula unit: 0.0
Symmetry: No. 123

a b c (Å): 5.406 5.406 3.971
angles (deg): 90.00 90.00 90.00
Element x y z (fractional)
Ga (0.000, 0.000, 0.000)
Sb (0.500, 0.500, 0.000)
Te (0.000, 0.500, 0.500)
Te (0.500, 0.000, 0.500)
H (0.500, 0.500, 0.500)

Model B:
Crystalline GaSbTe2H at its relaxed geometry. Source: Alexandria, functional PBE.

Results
Size of the total moment, μB per formula unit: 0.9
Symmetry: No. 123

a b c (Å): 5.509 5.509 5.301
angles (deg): 90.00 90.00 90.00
Element x y z (fractional)
Ga (0.000, 0.000, 0.000)
Sb (0.000, 0.000, 0.500)
Te (0.000, 0.500, 0.000)
Te (0.500, 0.000, 0.000)
H (0.500, 0.500, 0.500)

Least stable structure: model B

Model A:
Crystalline Sc2GaH at its relaxed geometry. Source: Alexandria, functional PBE.

Results
Size of the total moment, μB per formula unit: 0.6
Symmetry: No. 166

a b c (Å): 3.394 3.394 23.423
angles (deg): 90.00 90.00 120.00
Element x y z (fractional)
Sc (0.000, 0.000, 0.080)
Sc (0.000, 0.000, 0.920)
Sc (0.333, 0.667, 0.587)
Sc (0.333, 0.667, 0.747)
Sc (0.667, 0.333, 0.253)
Sc (0.667, 0.333, 0.413)
Ga (0.000, 0.000, 0.500)
Ga (0.333, 0.667, 0.167)
Ga (0.667, 0.333, 0.833)
H (0.000, 0.000, 0.000)
H (0.333, 0.667, 0.667)
H (0.667, 0.333, 0.333)

Model B:
Crystalline Sc2GaH at its relaxed geometry. Source: Alexandria, functional PBE.

Results
Size of the total moment, μB per formula unit: 0.0
Symmetry: No. 129

a b c (Å): 4.096 4.096 7.680
angles (deg): 90.00 90.00 90.00
Element x y z (fractional)
Sc (0.250, 0.250, 0.148)
Sc (0.250, 0.750, 0.500)
Sc (0.750, 0.250, 0.500)
Sc (0.750, 0.750, 0.852)
Ga (0.250, 0.250, 0.778)
Ga (0.750, 0.750, 0.222)
H (0.250, 0.250, 0.416)
H (0.750, 0.750, 0.584)

Least stable structure: model A

Model A:
Crystalline Sc2GaH at its relaxed geometry. Source: Alexandria, functional PBE.

Results
Size of the total moment, μB per formula unit: 0.6
Symmetry: No. 123

a b c (Å): 3.034 3.034 6.857
angles (deg): 90.00 90.00 90.00
Element x y z (fractional)
Sc (0.000, 0.000, 0.220)
Sc (0.000, 0.000, 0.780)
Ga (0.500, 0.500, 0.500)
H (0.500, 0.500, 0.000)

Model B:
Crystalline Sc2GaH at its relaxed geometry. Source: Alexandria, functional PBE.

Results
Size of the total moment, μB per formula unit: 0.0
Symmetry: No. 225

a b c (Å): 6.480 6.480 6.480
angles (deg): 90.00 90.00 90.00
Element x y z (fractional)
Sc (0.250, 0.250, 0.250)
Sc (0.250, 0.250, 0.750)
Sc (0.250, 0.750, 0.250)
Sc (0.250, 0.750, 0.750)
Sc (0.750, 0.250, 0.250)
Sc (0.750, 0.250, 0.750)
Sc (0.750, 0.750, 0.250)
Sc (0.750, 0.750, 0.750)
Ga (0.000, 0.000, 0.000)
Ga (0.000, 0.500, 0.500)
Ga (0.500, 0.000, 0.500)
Ga (0.500, 0.500, 0.000)
H (0.000, 0.000, 0.500)
H (0.000, 0.500, 0.000)
H (0.500, 0.000, 0.000)
H (0.500, 0.500, 0.500)

Model C:
Crystalline Sc2GaH at its relaxed geometry. Source: Alexandria, functional PBE.

Results
Size of the total moment, μB per formula unit: 0.0
Symmetry: No. 71

a b c (Å): 3.347 5.957 13.300
angles (deg): 90.00 90.00 90.00
Element x y z (fractional)
Sc (0.000, 0.000, 0.194)
Sc (0.000, 0.000, 0.806)
Sc (0.000, 0.254, 0.500)
Sc (0.000, 0.746, 0.500)
Sc (0.500, 0.246, 0.000)
Sc (0.500, 0.500, 0.306)
Sc (0.500, 0.500, 0.694)
Sc (0.500, 0.754, 0.000)
Ga (0.000, 0.500, 0.139)
Ga (0.000, 0.500, 0.861)
Ga (0.500, 0.000, 0.361)
Ga (0.500, 0.000, 0.639)
H (0.000, 0.500, 0.395)
H (0.000, 0.500, 0.605)
H (0.500, 0.000, 0.105)
H (0.500, 0.000, 0.895)

Least stable structure: model B